## Nd4Co2Cu5 (GGA-PBE)

Data for Nd4Co2Cu5 after structural relaxation.

M_tot, μB/atom: 0.034
Calculated formation energy, eV/atom: -0.1061
Total DFT energy (no corrections), hartree per atom: -0.184

Lattice parameters (Å, degrees): 6.829 4.101 7.894 90.00 90.86 90.00
Space group P2/m (No. 10)
One atom of each set of equivalent atoms:
Nd 0.223 0.000 0.356 (multiplicity 2)
Nd 0.246 0.000 0.884 (multiplicity 2)
Co 0.064 0.500 0.132 (multiplicity 2)
Cu 0.140 0.500 0.616 (multiplicity 2)
Cu 0.427 0.500 0.146 (multiplicity 2)
Cu 0.500 0.500 0.500 (multiplicity 1)

## Nd6CoCu2 (GGA-PBE)

Data for Nd6CoCu2 after structural relaxation.

M_tot, μB/atom: 0.000
Calculated formation energy, eV/atom: -0.0450
Total DFT energy (no corrections), hartree per atom: -0.181

Lattice parameters (Å, degrees): 6.736 7.334 12.182 90.00 121.79 90.00
Space group P2_1/c (No. 14)
One atom of each set of equivalent atoms:
Nd 0.110 0.032 0.252 (multiplicity 4)
Nd 0.245 0.684 0.069 (multiplicity 4)
Nd 0.389 0.186 0.065 (multiplicity 4)
Co 0.000 0.000 0.000 (multiplicity 2)
Cu 0.316 0.107 0.759 (multiplicity 4)

## Nd2CoCu (GGA-PBE)

Data for Nd2CoCu after structural relaxation.

M_tot, μB/atom: 0.086
Relative energy among the computed polymorphs, meV per atom: 82
Calculated formation energy, eV/atom: -0.0403
Total DFT energy (no corrections), hartree per atom: -0.192

Lattice parameters (Å, degrees): 7.047 7.047 7.047 90.00 90.00 90.00
Space group Fm-3m (No. 225)
One atom of each set of equivalent atoms:
Nd 0.250 0.250 0.250 (multiplicity 8)
Co 0.000 0.000 0.000 (multiplicity 4)
Cu 0.000 0.000 0.500 (multiplicity 4)

| no. | Fermi-level density of states (states/eV/atom) |
| --- | --- |
| 1 | 0.754 |
| 2 | 1.130 |
| 3 | 1.081 |